No. 1
First-principles (PBE) data for crystalline UGaPd2 at its relaxed geometry, as listed in the Alexandria database.

Results
calculated formation energy	-1.7	eV per formula unit

abc: 5.6166 6.8604 7.8052
angles: 90.00 90.00 90.00
Each line ends with the local moment (μB).
Fractional positions:
U  0.3421  0.7500  0.9478  2.30
U  0.1579  0.7500  0.4478  2.30
U  0.6579  0.2500  0.0522  2.30
U  0.8421  0.2500  0.5522  2.30
Ga  0.6679  0.7500  0.6082  0.00
Ga  0.8321  0.7500  0.1082  0.00
Ga  0.3321  0.2500  0.3918  0.00
Ga  0.1679  0.2500  0.8918  0.00
Pd  0.9022  0.5456  0.8226  -0.03
Pd  0.5978  0.9544  0.3226  -0.03
Pd  0.0978  0.0456  0.1774  -0.03
Pd  0.4022  0.4544  0.6774  -0.03
Pd  0.0978  0.4544  0.1774  -0.03
Pd  0.4022  0.0456  0.6774  -0.03
Pd  0.9022  0.9544  0.8226  -0.03
Pd  0.5978  0.5456  0.3226  -0.03

No. 2
First-principles (PBE) data for crystalline BaTl5Pd3 at its relaxed geometry, as listed in the Alexandria database.

Results
calculated formation energy	-1.8	eV per formula unit

abc: 4.5002 7.6484 14.7656
angles: 90.00 90.00 107.11
Fractional positions:
Ba  0.8325  0.6650  0.7500
Ba  0.1675  0.3350  0.2500
Tl  0.7917  0.5835  0.4258
Tl  0.2083  0.4165  0.9258
Tl  0.0000  0.0000  0.5000
Tl  0.0000  0.0000  0.0000
Tl  0.4508  0.9017  0.1506
Tl  0.5492  0.0983  0.8494
Tl  0.5492  0.0983  0.6506
Tl  0.7917  0.5835  0.0742
Tl  0.2083  0.4165  0.5742
Tl  0.4508  0.9017  0.3494
Pd  0.3911  0.7822  0.9603
Pd  0.8693  0.7386  0.2500
Pd  0.3911  0.7822  0.5397
Pd  0.6089  0.2178  0.4603
Pd  0.1307  0.2614  0.7500
Pd  0.6089  0.2178  0.0397

No. 3
First-principles (PBE) data for crystalline LiDy3 at its relaxed geometry, as listed in the Alexandria database.

Results
calculated formation energy	0.8	eV per formula unit
E above lowest polymorph	0.45	eV/f.u.

abc: 4.8539 4.8539 5.9859
angles: 113.92 113.92 90.00
Fractional positions:
Li  0.0000  0.0000  0.0000
Dy  0.7500  0.2500  0.5000
Dy  0.2500  0.7500  0.5000
Dy  0.5000  0.5000  0.0000

No. 4
First-principles (PBE) data for crystalline Al2TlHg at its relaxed geometry, as listed in the Alexandria database.

Results
calculated formation energy	0.9	eV per formula unit

abc: 5.8071 5.8071 5.9745
angles: 66.69 66.69 30.22
Fractional positions:
Tl  0.7080  0.7080  0.8387
Hg  0.5374  0.5374  0.4340
Al  0.9546  0.9546  0.9082
Al  0.3001  0.3001  0.3190

No. 5
First-principles (PBE) data for crystalline BaSm2Au at its relaxed geometry, as listed in the Alexandria database.

Results
calculated formation energy	-0.8	eV per formula unit
E above lowest polymorph	0.24	eV/f.u.

abc: 4.8180 4.8180 8.0210
angles: 72.52 72.52 60.00
Fractional positions:
Ba  0.4977  0.4977  0.5069
Sm  0.0494  0.0494  0.8519
Sm  0.2834  0.2834  0.1497
Au  0.6695  0.6695  0.9914

No. 6
First-principles (PBE) data for crystalline AsSeBr4 at its relaxed geometry, as listed in the Alexandria database.

Results
formation energy (no corrections)	1.03	eV/atom

abc: 6.2100 6.2100 6.2100
angles: 60.00 60.00 60.00
Each line ends with the local moment (μB).
Fractional positions:
As  0.0000  0.0000  0.0000  -0.84
Se  0.7500  0.7500  0.7500  1.04
Br  0.8753  0.3749  0.3749  -0.06
Br  0.3749  0.3749  0.8753  -0.06
Br  0.3749  0.8753  0.3749  -0.06
Br  0.3749  0.3749  0.3749  -0.06

No. 7
First-principles (PBE) data for crystalline ThVPb at its relaxed geometry, as listed in the Alexandria database.

Results
calculated formation energy	0.4	eV per formula unit

abc: 3.3205 3.3205 13.8510
angles: 90.00 90.00 90.00
Fractional positions:
Pb  0.0000  0.5000  0.6073
Pb  0.5000  0.0000  0.3927
Th  0.5000  0.0000  0.8063
Th  0.0000  0.5000  0.1937
V  0.0000  0.5000  0.9622
V  0.5000  0.0000  0.0378

No. 8
First-principles (PBE) data for crystalline RbTl2ZnSb at its relaxed geometry, as listed in the Alexandria database.

Results
formation energy (no corrections)	0.02	eV/atom

abc: 5.6186 5.6186 5.5212
angles: 90.00 90.00 90.00
Fractional positions:
Sb  0.0000  0.0000  0.5000
Tl  0.0000  0.5000  0.0000
Tl  0.5000  0.0000  0.0000
Zn  0.0000  0.0000  0.0000
Rb  0.5000  0.5000  0.5000

What is the formula in the first record? UGaPd2